VASP calculation (PBE) on a relaxed structure of SrCdCoTe3.

As for the density: 6.358 g cm⁻³. As for the total magnetization: 0.304 μB per atom. The energy above the most stable polymorph in this dataset is 0.1184 eV/atom.

The space group is Cmcm (No. 63) and the conventional cell measures 4.283, 14.655 and 10.681 Å, with angles of 90.00, 90.00 and 90.00 degrees. The distinct sites, in fractional coordinates, are Sr at (0.000, 0.228, 0.250), Cd at (0.000, 0.471, 0.750), Co at (0.000, 0.000, 0.000), Te at (0.000, 0.091, 0.750) and Te at (0.000, 0.370, 0.530).

=====

VASP calculation (PBE) on a relaxed structure of Y4Zr2Sb3C3.

The value obtained for the total energy is -7.621 eV/atom. As for the density: 6.317 g cm⁻³. As for the total magnetization: 0.000 μB per atom.

The space group is C2/c (No. 15) and the conventional cell measures 10.753, 6.223 and 15.205 Å, with angles of 90.00, 103.87 and 90.00 degrees. The distinct sites, in fractional coordinates, are Y at (0.115, 0.080, 0.092), Y at (0.217, 0.086, 0.408), Zr at (0.058, 0.415, 0.920), Sb at (0.000, 0.110, 0.750), Sb at (0.153, 0.431, 0.249), C at (0.077, 0.269, 0.500) and C at (0.250, 0.250, 0.000).

=====

VASP calculation (PBE) on a relaxed structure of LiNdBi2.

The value obtained for the total energy is -4.385 eV/atom. As for the density: 8.644 g cm⁻³. As for the total magnetization: 0.000 μB per atom.

The space group is P4/nmm (No. 129, origin choice 2) and the conventional cell measures 4.544, 4.544 and 10.591 Å, with angles of 90.00, 90.00 and 90.00 degrees. The distinct sites, in fractional coordinates, are Li at (0.250, 0.750, 0.000), Nd at (0.250, 0.250, 0.257), Bi at (0.250, 0.250, 0.836) and Bi at (0.250, 0.750, 0.500).

=====

VASP calculation (PBE) on a relaxed structure of SrLuAuSe3.

As for the density: 7.726 g cm⁻³. As for the total magnetization: 0.000 μB per atom. The energy above the most stable polymorph in this dataset is 0.0240 eV/atom.

The space group is Pnma (No. 62) and the conventional cell measures 10.647, 4.098 and 13.722 Å, with angles of 90.00, 90.00 and 90.00 degrees. The distinct sites, in fractional coordinates, are Sr at (0.230, 0.250, 0.010), Lu at (0.020, 0.750, 0.745), Au at (0.244, 0.750, 0.216), Se at (0.034, 0.750, 0.114), Se at (0.064, 0.250, 0.603) and Se at (0.230, 0.250, 0.340).

=====

VASP calculation (PBE) on a relaxed structure of Pr3Tl2InAgPt2.

The value obtained for the total energy is -4.777 eV/atom. As for the density: 10.816 g cm⁻³. As for the total magnetization: 0.000 μB per atom.

The space group is Amm2 (No. 38) and the conventional cell measures 4.055, 13.820 and 7.913 Å, with angles of 90.00, 90.00 and 90.00 degrees. The distinct sites, in fractional coordinates, are Pr at (0.000, 0.000, 0.000), Pr at (0.000, 0.207, 0.378), Tl at (0.500, 0.131, 0.716), In at (0.500, 0.000, 0.326), Ag at (0.000, 0.000, 0.578) and Pt at (0.500, 0.163, 0.092).

=====

VASP calculation (PBE) on a relaxed structure of GdYNi2Pb.

The value obtained for the total energy is -5.703 eV/atom. As for the density: 8.892 g cm⁻³. As for the total magnetization: 0.000 μB per atom.

The space group is Amm2 (No. 38) and the conventional cell measures 3.700, 4.022 and 14.325 Å, with angles of 90.00, 90.00 and 90.00 degrees. The distinct sites, in fractional coordinates, are Gd at (0.000, 0.000, 0.000), Y at (0.000, 0.000, 0.721), Ni at (0.500, 0.000, 0.159), Ni at (0.500, 0.000, 0.561) and Pb at (0.500, 0.000, 0.359).

=====

VASP calculation (PBE) on a relaxed structure of BaAg2BiSb.

As for the density: 8.005 g cm⁻³. The energy above the most stable polymorph in this dataset is 0.0000 eV/atom.

The space group is P4/nmm (No. 129, origin choice 2) and the conventional cell measures 4.876, 4.876 and 11.934 Å, with angles of 90.00, 90.00 and 90.00 degrees. The distinct sites, in fractional coordinates, are Ba at (0.250, 0.250, 0.233), Ag at (0.250, 0.250, 0.646), Ag at (0.250, 0.750, 0.000), Bi at (0.250, 0.750, 0.500) and Sb at (0.250, 0.250, 0.873).

=====

VASP calculation (PBE) on a relaxed structure of SmSiHg.

As for the density: 9.037 g cm⁻³. As for the total magnetization: 0.003 μB per atom. The energy above the most stable polymorph in this dataset is 0.0000 eV/atom.

The space group is C2/m (No. 12) and the conventional cell measures 16.447, 4.398 and 3.910 Å, with angles of 90.00, 99.92 and 90.00 degrees. The distinct sites, in fractional coordinates, are Sm at (0.097, 0.000, 0.322), Si at (0.044, 0.500, 0.781) and Hg at (0.213, 0.500, 0.782).

=====

VASP calculation (PBE) on a relaxed structure of MgZrAu2.

The value obtained for the total energy is -4.675 eV/atom. As for the density: 11.065 g cm⁻³. As for the total magnetization: 0.000 μB per atom.

The space group is Imma (No. 74) and the conventional cell measures 6.472, 6.970 and 6.780 Å, with angles of 90.00, 90.00 and 90.00 degrees. The distinct sites, in fractional coordinates, are Mg at (0.000, 0.250, 0.249), Zr at (0.000, 0.250, 0.751) and Au at (0.248, 0.000, 0.500).

=====

VASP calculation (PBE) on a relaxed structure of PaN.

As for the density: 13.544 g cm⁻³. As for the total magnetization: 0.000 μB per atom. The energy above the most stable polymorph in this dataset is 0.0014 eV/atom.

The space group is R-3m (No. 166, hexagonal axes) and the conventional cell measures 3.4776, 3.4776 and 8.6053 Å, with angles of 90.00, 90.00 and 120.00 degrees. The distinct sites, in fractional coordinates, are Pa at (0.0000, 0.0000, 0.0000) and N at (0.0000, 0.0000, 0.5000).

=====

VASP calculation (PBE) on a relaxed structure of TlZnAs.

The value obtained for the total energy is -2.379 eV/atom. As for the density: 7.434 g cm⁻³.

The space group is F-43m (No. 216) and the conventional cell measures 6.753, 6.753 and 6.753 Å, with angles of 90.00, 90.00 and 90.00 degrees. The distinct sites, in fractional coordinates, are Tl at (0.000, 0.000, 0.000), Zn at (0.250, 0.250, 0.250) and As at (0.250, 0.250, 0.750).

=====

VASP calculation (PBE) on a relaxed structure of Ta9Co4.

As for the density: 13.723 g cm⁻³. As for the total magnetization: 0.003 μB per atom. The energy above the most stable polymorph in this dataset is 0.3799 eV/atom. The value obtained for the formation energy is 0.628 eV/atom.

The space group is R-3m (No. 166, hexagonal axes) and the conventional cell measures 5.5991, 5.5991 and 24.9267 Å, with angles of 90.00, 90.00 and 120.00 degrees. The distinct sites, in fractional coordinates, are Ta at (0.0000, 0.0000, 0.0000), Ta at (0.0000, 0.0000, 0.4427), Ta at (0.0053, 0.5026, 0.4193), Co at (0.0000, 0.0000, 0.1682) and Co at (0.0000, 0.0000, 0.3433).

=====

Please write out number 3 again, unchanged.
VASP calculation (PBE) on a relaxed structure of LiNdBi2.

The value obtained for the total energy is -4.385 eV/atom. As for the density: 8.644 g cm⁻³. As for the total magnetization: 0.000 μB per atom.

The space group is P4/nmm (No. 129, origin choice 2) and the conventional cell measures 4.544, 4.544 and 10.591 Å, with angles of 90.00, 90.00 and 90.00 degrees. The distinct sites, in fractional coordinates, are Li at (0.250, 0.750, 0.000), Nd at (0.250, 0.250, 0.257), Bi at (0.250, 0.250, 0.836) and Bi at (0.250, 0.750, 0.500).